Li2NpCoH8 | PBE | relaxed

Unit cell a=4.244 b=4.425 c=5.889 alpha=57.34 beta=90.00 gamma=90.00
Site moments in Bohr magnetons follow the coordinates.
Atoms (fractional coordinates):
H 0.752 0.168 0.092  -0.01
H 0.248 0.832 0.908  -0.01
H 0.000 0.349 0.706  -0.01
H 0.248 0.168 0.092  -0.01
H 0.500 0.758 0.540  -0.02
H 0.500 0.242 0.460  -0.02
H 0.000 0.651 0.294  -0.01
H 0.752 0.832 0.908  -0.01
Li 0.500 0.712 0.232  0.00
Li 0.500 0.288 0.768  0.00
Np 0.000 0.000 0.500  3.71
Co 0.000 0.000 0.000  0.15

Summary:
Electronic total energy, eV per atom: -4.454
D(E_F), states/eV/f.u.: 7.9
V, A^3/atom: 7.8